Record 1
Material: RbBa2SrBi
Method: DFT, GGA-PBE
State: optimized geometry

Unit cell a=6.5669 b=6.4678 c=6.5669 alpha=90.00 beta=90.00 gamma=90.00
Closest atoms and distances in Å follow each position.
Fractional coordinates of all 5 atoms:
Ba  0.5000  0.0000  0.0000  2 Rb 3.28
Ba  0.0000  0.0000  0.5000  2 Rb 3.28
Bi  0.0000  0.5000  0.0000  2 Rb 3.23
Rb  0.0000  0.0000  0.0000  2 Bi 3.23, 4 Ba 3.28
Sr  0.5000  0.5000  0.5000  8 Ba 4.61, 4 Bi 4.64

Values from the calculation:
The value obtained for the total magnetization is 0.00 μB per formula unit. The space group is No. 123. The value obtained for the density is 3.9 g/cm³.

=====

Record 2
Material: Er2Al9Pt3
Method: DFT, GGA-PBE
State: optimized geometry

Unit cell a=7.6390 b=7.6390 c=10.3925 alpha=89.83 beta=111.64 gamma=120.14
Closest atoms and distances in Å follow each position.
Fractional coordinates of all 28 atoms:
Pt  0.8433  0.1720  0.5001  8 Al 2.55-2.68
Pt  0.1567  0.8280  0.4999  8 Al 2.55-2.68
Pt  0.8281  0.6568  0.0001  8 Al 2.55-2.68
Pt  0.1719  0.3432  0.9999  8 Al 2.55-2.68
Pt  0.5000  0.0000  0.0000  8 Al 2.56-2.65
Pt  0.5000  0.5000  0.5000  8 Al 2.56-2.65
Al  0.8828  0.8587  0.5744  3 Pt 2.59-2.64, 4 Al 2.77-2.90
Al  0.2177  0.5247  0.5771  3 Pt 2.58-2.65, 3 Al 2.77-2.86
Al  0.7842  0.3083  0.9256  3 Pt 2.59-2.64, 4 Al 2.77-2.90
Al  0.1261  0.9803  0.9371  3 Pt 2.61-2.68, 5 Al 2.82-2.86
Al  0.1223  0.8723  0.2500  2 Pt 2.55, 6 Al 2.76-2.84
Al  0.3301  0.2889  0.2483  2 Pt 2.55-2.56, 6 Al 2.76-2.82
Al  0.5524  0.3594  0.0771  3 Pt 2.58-2.65, 3 Al 2.77-2.86
Al  0.8739  0.0197  0.0629  3 Pt 2.61-2.68, 5 Al 2.82-2.86
Al  0.4476  0.6406  0.9229  3 Pt 2.58-2.65, 3 Al 2.77-2.86
Al  0.1172  0.1413  0.4256  3 Pt 2.59-2.64, 4 Al 2.77-2.90
Al  0.5432  0.1890  0.5629  3 Pt 2.61-2.68, 5 Al 2.82-2.86
Al  0.4568  0.8110  0.4371  3 Pt 2.61-2.68, 5 Al 2.82-2.86
Al  0.2158  0.6917  0.0744  3 Pt 2.59-2.64, 4 Al 2.77-2.90
Al  0.6699  0.7111  0.7517  2 Pt 2.55-2.56, 6 Al 2.76-2.82
Al  0.8777  0.1277  0.7500  2 Pt 2.55, 6 Al 2.76-2.84
Al  0.5406  0.0818  0.2517  2 Pt 2.55-2.56, 6 Al 2.76-2.82
Al  0.4594  0.9182  0.7483  2 Pt 2.55-2.56, 6 Al 2.76-2.82
Al  0.7823  0.4753  0.4229  3 Pt 2.58-2.65, 3 Al 2.77-2.86
Er  0.9964  0.5853  0.7497  11 Al 3.01-3.16
Er  0.3356  0.2467  0.7503  11 Al 3.01-3.16
Er  0.6644  0.7533  0.2497  11 Al 3.01-3.16
Er  0.0036  0.4147  0.2503  11 Al 3.01-3.16

Values from the calculation:
The value obtained for the total magnetization is 0.00 μB per formula unit. The space group is No. 15. The value obtained for the density is 8.1 g/cm³.

=====

Record 3
Material: Er3Ga8Pt3
Method: DFT, GGA-PBE
State: optimized geometry

Unit cell a=4.3056 b=8.0795 c=8.2016 alpha=70.83 beta=74.78 gamma=74.55
Closest atoms and distances in Å follow each position.
Fractional coordinates of all 14 atoms:
Ga  0.3450  0.0261  0.2840  1 Pt 2.52, 4 Ga 2.63-2.66
Ga  0.1438  0.1439  0.5685  5 Ga 2.63-2.83, 1 Pt 2.67
Ga  0.8562  0.8561  0.4315  5 Ga 2.63-2.83, 1 Pt 2.67
Ga  0.6550  0.9739  0.7160  1 Pt 2.52, 4 Ga 2.63-2.66
Ga  0.1497  0.5664  0.1342  4 Pt 2.55-2.80
Ga  0.4996  0.6745  0.3263  3 Pt 2.57-2.71, 3 Ga 2.66-2.83
Ga  0.8503  0.4336  0.8658  4 Pt 2.55-2.80
Ga  0.5004  0.3255  0.6737  3 Pt 2.57-2.71, 3 Ga 2.66-2.83
Pt  0.3543  0.2838  0.0076  5 Ga 2.52-2.66
Pt  0.0000  0.5000  0.5000  8 Ga 2.67-2.80
Pt  0.6457  0.7162  0.9924  5 Ga 2.52-2.66
Er  0.0000  0.0000  0.0000  4 Pt 3.10, 8 Ga 3.16-3.28
Er  0.7082  0.2957  0.2879  10 Ga 3.01-3.29, 2 Pt 3.11
Er  0.2918  0.7043  0.7121  10 Ga 3.01-3.29, 2 Pt 3.11

Values from the calculation:
The value obtained for the total magnetization is 0.00 μB per formula unit. The space group is No. 12. The value obtained for the density is 10.7 g/cm³.

=====

no.,N(E_F) (states/eV/cell),electronic total energy (eV/atom)
1,4.8,-1.71
2,11.6,-5.19
3,4.6,-4.78